No. 1
Computed, not measured: crystalline NdErRh at its relaxed geometry at the GGA-PBE level of DFT.

Unit cell a=6.885 b=6.885 c=6.885 alpha=90.00 beta=90.00 gamma=90.00
Space group F-43m (No. 216)
Asymmetric unit:
1 Nd 0.000 0.000 0.000
2 Er 0.000 0.000 0.500
3 Rh 0.250 0.250 0.750

Output
Formation energy, eV/atom: -0.518

---

No. 2
Computed, not measured: crystalline NiHgTe at its relaxed geometry at the GGA-PBE level of DFT.

Unit cell a=3.7778 b=3.7778 c=5.4889 alpha=90.00 beta=90.00 gamma=120.00
Space group P3m1 (No. 156)
Asymmetric unit:
1 Ni 0.0000 0.0000 0.0000
2 Hg 0.3333 0.6667 0.6900
3 Te 0.6667 0.3333 0.2249

Output
ΔE_f (raw), meV per atom: 45

---

No. 3
Computed, not measured: crystalline AcEuCu at its relaxed geometry at the GGA-PBE level of DFT.

Unit cell a=3.787 b=3.787 c=13.404 alpha=90.00 beta=90.00 gamma=90.00
Space group I4mm (No. 107)
Asymmetric unit:
1 Ac 0.000 0.000 0.000
2 Eu 0.000 0.000 0.735
3 Cu 0.000 0.000 0.368

Output
Formation energy, eV/atom: -0.040

---

No. 4
Computed, not measured: crystalline PbSe2Br at its relaxed geometry at the GGA-PBE level of DFT.

Unit cell a=4.177 b=4.177 c=12.169 alpha=90.00 beta=90.00 gamma=90.00
Space group I4/mmm (No. 139)
Asymmetric unit:
1 Pb 0.000 0.000 0.000
2 Se 0.000 0.500 0.250
3 Br 0.000 0.000 0.500

Output
ΔE_f (raw), meV per atom: -122

---

No. 5
Computed, not measured: crystalline LaSm2Ho2Er2 at its relaxed geometry at the GGA-PBE level of DFT.

Unit cell a=11.613 b=3.486 c=11.838 alpha=90.00 beta=101.96 gamma=90.00
Space group C2/m (No. 12)
Asymmetric unit:
1 La 0.000 0.000 0.000
2 Sm 0.204 0.500 0.866
3 Ho 0.092 0.500 0.279
4 Er 0.157 0.500 0.573

Output
Formation energy, eV/atom: 0.172

---

No. 6
Computed, not measured: crystalline Nd4FeBr2Cl at its relaxed geometry at the GGA-PBE level of DFT.

Unit cell a=7.490 b=3.964 c=7.897 alpha=90.00 beta=106.88 gamma=90.00
Space group P2/m (No. 10)
Asymmetric unit:
1 Nd 0.202 0.000 0.196
2 Nd 0.237 0.500 0.794
3 Fe 0.000 0.500 0.000
4 Br 0.000 0.000 0.500
5 Br 0.500 0.500 0.500
6 Cl 0.500 0.000 0.000

Output
ΔE_f (raw), meV per atom: -923

---

No. 7
Computed, not measured: crystalline YCrCo3 at its relaxed geometry at the GGA-PBE level of DFT.

Unit cell a=4.556 b=4.556 c=4.556 alpha=90.00 beta=90.00 gamma=90.00
Space group Pm-3m (No. 221)
Asymmetric unit:
1 Y 0.000 0.000 0.000
2 Cr 0.500 0.500 0.500
3 Co 0.000 0.000 0.500

Output
Formation energy, eV/atom: 2.160

---

No. 8
Computed, not measured: crystalline NaSe2Cl at its relaxed geometry at the GGA-PBE level of DFT.

Unit cell a=3.2395 b=3.2395 c=30.5543 alpha=90.00 beta=90.00 gamma=120.00
Space group R-3m (No. 166, hexagonal axes)
Asymmetric unit:
1 Na 0.0000 0.0000 0.0000
2 Se 0.0000 0.0000 0.0904
3 Cl 0.0000 0.0000 0.5000

Output
ΔE_f (raw), meV per atom: 356